Entry 1:
A relaxed structure of Cr2Si. Source: Alexandria, functional GGA-PBE.

Summary:
energy relative to the elements, uncorrected: -0.164 eV per atom
total DFT energy (no corrections): -50.32 eV per cell

abc: 4.5671 4.5671 4.5671
angles: 105.33 105.33 118.11
Closest atoms and distances in Å follow each position.
Element x y z (fractional)
Cr (0.1467, 0.6467, 0.7933)  1 Cr 2.30, 4 Si 2.42
Cr (0.3533, 0.1467, 0.5000)  1 Cr 2.30, 4 Si 2.42
Cr (0.6467, 0.8533, 0.5000)  1 Cr 2.30, 4 Si 2.42
Cr (0.8533, 0.3533, 0.2067)  1 Cr 2.30, 4 Si 2.42
Si (0.2500, 0.2500, 0.0000)  2 Si 2.35, 8 Cr 2.42
Si (0.7500, 0.7500, 0.0000)  2 Si 2.35, 8 Cr 2.42


Entry 2:
A relaxed structure of TmPuCdRu. Source: Alexandria, functional GGA-PBE.

Summary:
total DFT energy (no corrections): -30.04 eV per cell
excess energy over the best structure of this formula in the dataset: 0.0 meV per atom
DFT formation energy: -0.2611 eV per atom

abc: 3.3101 3.3101 8.2556
angles: 90.00 90.00 90.00
Closest atoms and distances in Å follow each position.
Element x y z (fractional)
Tm (0.0000, 0.0000, 0.0000)  4 Ru 2.88
Pu (0.0000, 0.0000, 0.4153)  4 Ru 2.92
Cd (0.5000, 0.5000, 0.7141)  4 Cd 3.31, 4 Tm 3.32, 4 Pu 3.40
Ru (0.5000, 0.5000, 0.2035)  4 Tm 2.88, 4 Pu 2.92


Which formula does entry 2 have? TmPuCdRu